Entry 1:
Tl12Hg5Pd3 | PBE | optimized geometry

Lattice parameters (Å, degrees): 14.912 14.912 14.912 109.47 109.47 109.47
Fractional positions:
Hg1 0.375 0.250 0.125
Hg2 0.500 0.500 0.500
Hg3 0.125 0.750 0.375
Hg4 0.875 0.250 0.625
Hg5 0.500 0.000 0.000
Hg6 0.250 0.875 0.125
Hg7 0.250 0.375 0.625
Hg8 0.750 0.625 0.375
Hg9 0.750 0.125 0.875
Hg10 0.000 0.500 0.000
Hg11 0.125 0.375 0.250
Hg12 0.875 0.625 0.750
Hg13 0.000 0.500 0.500
Hg14 0.625 0.875 0.250
Hg15 0.625 0.750 0.875
Hg16 0.500 0.500 0.000
Hg17 0.000 0.000 0.000
Hg18 0.375 0.125 0.750
Hg19 0.000 0.000 0.500
Hg20 0.500 0.000 0.500
Tl1 0.740 0.133 0.072
Tl2 0.332 0.760 0.393
Tl3 0.561 0.928 0.668
Tl4 0.072 0.633 0.740
Tl5 0.439 0.072 0.332
Tl6 0.607 0.867 0.439
Tl7 0.240 0.572 0.633
Tl8 0.393 0.260 0.332
Tl9 0.107 0.939 0.367
Tl10 0.367 0.439 0.107
Tl11 0.428 0.668 0.061
Tl12 0.072 0.439 0.832
Tl13 0.240 0.668 0.107
Tl14 0.760 0.428 0.367
Tl15 0.928 0.367 0.260
Tl16 0.367 0.928 0.760
Tl17 0.633 0.072 0.240
Tl18 0.168 0.061 0.928
Tl19 0.107 0.168 0.240
Tl20 0.572 0.240 0.133
Tl21 0.393 0.133 0.561
Tl22 0.939 0.107 0.867
Tl23 0.832 0.939 0.072
Tl24 0.428 0.760 0.867
Tl25 0.260 0.867 0.928
Tl26 0.928 0.561 0.168
Tl27 0.939 0.832 0.572
Tl28 0.893 0.832 0.760
Tl29 0.607 0.740 0.668
Tl30 0.633 0.561 0.893
Tl31 0.439 0.367 0.607
Tl32 0.668 0.240 0.607
Tl33 0.061 0.893 0.133
Tl34 0.832 0.893 0.260
Tl35 0.572 0.332 0.939
Tl36 0.893 0.061 0.633
Tl37 0.867 0.607 0.939
Tl38 0.668 0.428 0.561
Tl39 0.168 0.107 0.740
Tl40 0.133 0.740 0.572
Tl41 0.332 0.572 0.439
Tl42 0.133 0.393 0.061
Tl43 0.740 0.607 0.168
Tl44 0.867 0.260 0.428
Tl45 0.061 0.168 0.428
Tl46 0.760 0.332 0.893
Tl47 0.260 0.393 0.832
Tl48 0.561 0.633 0.393
Pd1 0.375 0.750 0.625
Pd2 0.250 0.625 0.875
Pd3 0.750 0.375 0.125
Pd4 0.125 0.250 0.875
Pd5 0.250 0.125 0.375
Pd6 0.875 0.125 0.250
Pd7 0.125 0.875 0.750
Pd8 0.750 0.875 0.625
Pd9 0.875 0.750 0.125
Pd10 0.625 0.375 0.750
Pd11 0.625 0.250 0.375
Pd12 0.375 0.625 0.250

Results
**Density**: 9.8 g/cm³
**Total magnetization**: 0.0 μB per formula unit
**Energy of formation from the pure elements**: 135 meV/atom
**Calculated volume**: 31.91 Å³ per atom
**Total energy**: -0.0786 hartree per atom

---

Entry 2:
TlHg2Pd8 | PBE | optimized geometry

Lattice parameters (Å, degrees): 4.653 6.106 7.931 112.64 107.06 90.00
Fractional positions:
Tl1 0.500 0.000 0.000
Hg1 0.172 0.672 0.343
Hg2 0.828 0.328 0.657
Pd1 0.000 0.260 0.000
Pd2 0.661 0.417 0.322
Pd3 0.661 0.905 0.322
Pd4 0.339 0.095 0.678
Pd5 0.339 0.583 0.678
Pd6 0.167 0.167 0.334
Pd7 0.833 0.833 0.666
Pd8 0.000 0.740 0.000

Results
**Density**: 12.3 g/cm³
**Total magnetization**: 0.0 μB per formula unit
**Energy of formation from the pure elements**: -72 meV/atom
**Calculated volume**: 17.93 Å³ per atom
**Total energy**: -0.1513 hartree per atom
**E above lowest polymorph**: 82 meV/atom

---

Entry 3:
Tl5Hg4Pd | PBE | optimized geometry

Lattice parameters (Å, degrees): 3.344 3.344 24.194 90.00 90.00 90.00
Fractional positions:
Pd1 0.000 0.000 0.000
Tl1 0.500 0.500 0.500
Tl2 0.500 0.500 0.925
Tl3 0.500 0.500 0.075
Tl4 0.500 0.500 0.288
Tl5 0.500 0.500 0.712
Hg1 0.000 0.000 0.396
Hg2 0.000 0.000 0.817
Hg3 0.000 0.000 0.183
Hg4 0.000 0.000 0.604

Results
**Density**: 11.9 g/cm³
**Total magnetization**: 0.0 μB per formula unit
**Energy of formation from the pure elements**: -5 meV/atom
**Calculated volume**: 27.05 Å³ per atom
**Total energy**: -0.0672 hartree per atom